(1)
# Tm6GeC2S3 (PBE-GGA, optimized geometry)
data_Tm6GeC2S3
_symmetry_space_group_name_H-M 'C 1 2/m 1'
_symmetry_Int_Tables_number 12
_cell_length_a 16.717
_cell_length_b 3.723
_cell_length_c 7.779
_cell_angle_alpha 90.00
_cell_angle_beta 103.87
_cell_angle_gamma 90.00
loop_
_symmetry_equiv_pos_as_xyz
'x,y,z'
'-x,-y,-z'
'-x,y,-z'
'x,-y,z'
'x+1/2,y+1/2,z'
'-x+1/2,-y+1/2,-z'
'-x+1/2,y+1/2,-z'
'x+1/2,-y+1/2,z'
loop_
_atom_site_label
_atom_site_type_symbol
_atom_site_fract_x
_atom_site_fract_y
_atom_site_fract_z
Tm1 Tm 0.016 0.000 0.264
Tm2 Tm 0.171 0.500 0.121
Tm3 Tm 0.178 0.500 0.563
Ge1 Ge 0.000 0.500 0.000
C1 C 0.171 0.000 0.342
S1 S 0.000 0.500 0.500
S2 S 0.164 0.000 0.831
# VASP energy in eV/atom: -6.51

---

(2)
# Y4GeCS2 (PBE-GGA, optimized geometry)
data_Y4GeCS2
_symmetry_space_group_name_H-M 'I -4 m 2'
_symmetry_Int_Tables_number 119
_symmetry_space_group_name_Hall 'I -4 -2'
_cell_length_a 5.547
_cell_length_b 5.547
_cell_length_c 11.201
_cell_angle_alpha 90.00
_cell_angle_beta 90.00
_cell_angle_gamma 90.00
loop_
_atom_site_label
_atom_site_type_symbol
_atom_site_fract_x
_atom_site_fract_y
_atom_site_fract_z
Y1 Y 0.000 0.000 0.223
Y2 Y 0.000 0.500 0.501
Ge1 Ge 0.000 0.500 0.250
C1 C 0.000 0.000 0.000
S1 S 0.000 0.000 0.500
S2 S 0.000 0.500 0.750
# VASP energy in eV/atom: -7.28

---

(3)
# Y8Ge3CS3 (PBE-GGA, optimized geometry)
data_Y8Ge3CS3
_symmetry_space_group_name_H-M 'R -3 m'
_symmetry_Int_Tables_number 166
_symmetry_space_group_name_Hall '-R 3 2"'
_cell_length_a 7.9585
_cell_length_b 7.9585
_cell_length_c 19.9369
_cell_angle_alpha 90.00
_cell_angle_beta 90.00
_cell_angle_gamma 120.00
loop_
_atom_site_label
_atom_site_type_symbol
_atom_site_fract_x
_atom_site_fract_y
_atom_site_fract_z
Y1 Y 0.0000 0.0000 0.2494
Y2 Y 0.0327 0.5164 0.2414
Ge1 Ge 0.0000 0.5000 0.0000
C1 C 0.0000 0.0000 0.5000
S1 S 0.0000 0.5000 0.5000
# VASP energy in eV/atom: -7.02

---

(4)
# GeSbC (PBE-GGA, optimized geometry)
data_GeSbC
_symmetry_space_group_name_H-M 'P 1'
_symmetry_Int_Tables_number 1
_cell_length_a 4.182
_cell_length_b 4.751
_cell_length_c 6.061
_cell_angle_alpha 105.07
_cell_angle_beta 101.44
_cell_angle_gamma 96.70
loop_
_symmetry_equiv_pos_as_xyz
'x,y,z'
loop_
_atom_site_label
_atom_site_type_symbol
_atom_site_fract_x
_atom_site_fract_y
_atom_site_fract_z
Ge1 Ge 0.000 0.000 0.000
Ge2 Ge 0.208 0.853 0.483
Sb1 Sb 0.587 0.512 0.233
Sb2 Sb 0.811 0.326 0.685
C1 C 0.252 0.721 0.796
C2 C 0.571 0.674 0.899
# Energy relative to the lowest polymorph listed for this composition in meV per atom: 76
# VASP energy in eV/atom: -5.33

---

(5)
# GeSbC (PBE-GGA, optimized geometry)
data_GeSbC
_symmetry_space_group_name_H-M 'A m m 2'
_symmetry_Int_Tables_number 38
_cell_length_a 5.403
_cell_length_b 4.142
_cell_length_c 13.148
_cell_angle_alpha 90.00
_cell_angle_beta 90.00
_cell_angle_gamma 90.00
loop_
_symmetry_equiv_pos_as_xyz
'x,y,z'
'-x,-y,z'
'-x,y,z'
'x,-y,z'
'x,y+1/2,z+1/2'
'-x,-y+1/2,z+1/2'
'-x,y+1/2,z+1/2'
'x,-y+1/2,z+1/2'
loop_
_atom_site_label
_atom_site_type_symbol
_atom_site_fract_x
_atom_site_fract_y
_atom_site_fract_z
Ge1 Ge 0.000 0.000 0.000
Ge2 Ge 0.500 0.000 0.297
Sb1 Sb 0.000 0.000 0.364
Sb2 Sb 0.500 0.000 0.059
C1 C 0.500 0.159 0.687
# Energy relative to the lowest polymorph listed for this composition in meV per atom: 0
# VASP energy in eV/atom: -5.41

---

(6)
# GeSbC (PBE-GGA, optimized geometry)
data_GeSbC
_symmetry_space_group_name_H-M 'P 1'
_symmetry_Int_Tables_number 1
_cell_length_a 3.328
_cell_length_b 5.382
_cell_length_c 7.531
_cell_angle_alpha 96.91
_cell_angle_beta 99.91
_cell_angle_gamma 90.06
loop_
_symmetry_equiv_pos_as_xyz
'x,y,z'
loop_
_atom_site_label
_atom_site_type_symbol
_atom_site_fract_x
_atom_site_fract_y
_atom_site_fract_z
Ge1 Ge 0.000 0.000 0.000
Ge2 Ge 0.141 0.950 0.339
Sb1 Sb 0.244 0.382 0.604
Sb2 Sb 0.395 0.513 0.006
C1 C 0.673 0.787 0.422
C2 C 0.712 0.591 0.520
# Energy relative to the lowest polymorph listed for this composition in meV per atom: 61
# VASP energy in eV/atom: -5.35

---

(7)
# GeSbC (PBE-GGA, optimized geometry)
data_GeSbC
_symmetry_space_group_name_H-M 'C 1 m 1'
_symmetry_Int_Tables_number 8
_cell_length_a 19.571
_cell_length_b 4.212
_cell_length_c 3.331
_cell_angle_alpha 90.00
_cell_angle_beta 91.93
_cell_angle_gamma 90.00
loop_
_symmetry_equiv_pos_as_xyz
'x,y,z'
'x,-y,z'
'x+1/2,y+1/2,z'
'x+1/2,-y+1/2,z'
loop_
_atom_site_label
_atom_site_type_symbol
_atom_site_fract_x
_atom_site_fract_y
_atom_site_fract_z
Ge1 Ge 0.000 0.000 0.000
Ge2 Ge 0.215 0.000 0.940
Sb1 Sb 0.087 0.500 0.020
Sb2 Sb 0.306 0.500 0.962
C1 C 0.375 0.500 0.476
C2 C 0.444 0.500 0.489
# Energy relative to the lowest polymorph listed for this composition in meV per atom: 29
# VASP energy in eV/atom: -5.38

---

(8)
# GeSbC (PBE-GGA, optimized geometry)
data_GeSbC
_symmetry_space_group_name_H-M 'P 1 m 1'
_symmetry_Int_Tables_number 6
_cell_length_a 4.631
_cell_length_b 4.143
_cell_length_c 6.872
_cell_angle_alpha 90.00
_cell_angle_beta 99.30
_cell_angle_gamma 90.00
loop_
_symmetry_equiv_pos_as_xyz
'x,y,z'
'x,-y,z'
loop_
_atom_site_label
_atom_site_type_symbol
_atom_site_fract_x
_atom_site_fract_y
_atom_site_fract_z
Ge1 Ge 0.000 0.000 0.000
Ge2 Ge 0.005 0.000 0.630
Sb1 Sb 0.486 0.000 0.356
Sb2 Sb 0.620 0.500 0.026
C1 C 0.228 0.341 0.515
# Energy relative to the lowest polymorph listed for this composition in meV per atom: 29
# VASP energy in eV/atom: -5.38

---

Energy relative to the elements, uncorrected readings, ordered: -127.1, -124.1, -116.3, 63.0, 55.7, 61.6, 58.5, 58.5 kJ per mole of atoms